Material: Sr8Ga2P
Method: DFT, PBE
State: optimized geometry

Output
- Energy of formation from the pure elements: -0.35 eV/atom
- Spin magnetization: 0.000 μB per atom
- Fermi-level density of states: 7.80 states/eV/f.u.

CIF file:
```
data_Sr8Ga2P
_cell_length_a 4.340
_cell_length_b 10.509
_cell_length_c 10.573
_cell_angle_alpha 92.20
_cell_angle_beta 101.84
_cell_angle_gamma 90.00
_symmetry_space_group_name_H-M 'P 1'
_symmetry_Int_Tables_number 1
_symmetry_space_group_name_Hall 'P 1'
loop_
_atom_site_label
_atom_site_type_symbol
_atom_site_fract_x
_atom_site_fract_y
_atom_site_fract_z
Sr1 Sr 0.598 0.539 0.196
Sr2 Sr 0.353 0.026 0.706
Sr3 Sr 0.223 0.317 0.447
Sr4 Sr 0.992 0.805 0.984
Sr5 Sr 0.777 0.683 0.553
Sr6 Sr 0.647 0.974 0.294
Sr7 Sr 0.402 0.461 0.804
Sr8 Sr 0.008 0.195 0.016
Ga1 Ga 0.164 0.737 0.327
Ga2 Ga 0.836 0.263 0.673
P1 P 0.500 0.000 0.000
```